1.
! UNbSi2 PBE-GGA optimized geometry; values from VASP
&SYSTEM
  ibrav = 0, nat = 4, ntyp = 3
/
ATOMIC_SPECIES
U 238.03 U.upf
Si 28.09 Si.upf
Nb 92.91 Nb.upf
CELL_PARAMETERS angstrom
3.725 0.000 0.000
1.862 3.226 0.000
1.862 1.075 6.561
ATOMIC_POSITIONS crystal
U 0.500 0.500 0.500
Si 0.741 0.741 0.778
Nb 0.000 0.000 0.000
Si 0.259 0.259 0.222
! E_form (uncorrected)	-0.20	eV per atom
! symmetry	R-3m


2.
! Hf12ZrIn6 PBE-GGA optimized geometry; values from VASP
&SYSTEM
  ibrav = 0, nat = 19, ntyp = 3
/
ATOMIC_SPECIES
Hf 178.49 Hf.upf
In 114.82 In.upf
Zr 91.22 Zr.upf
CELL_PARAMETERS angstrom
-6.840 4.020 1.852
-1.107 -7.611 2.688
5.803 3.200 4.739
ATOMIC_POSITIONS crystal
Hf 0.872 0.635 0.635
Hf 0.635 0.872 0.635
In 0.708 0.293 0.708
Hf 0.500 0.116 0.884
Hf 0.884 0.500 0.116
Hf 0.365 0.365 0.128
In 0.707 0.292 0.292
In 0.708 0.708 0.293
Hf 0.635 0.635 0.872
Hf 0.500 0.884 0.116
Hf 0.116 0.500 0.884
In 0.293 0.708 0.708
Zr 0.000 0.000 0.000
In 0.292 0.707 0.292
Hf 0.884 0.116 0.500
Hf 0.128 0.365 0.365
Hf 0.365 0.128 0.365
Hf 0.116 0.884 0.500
In 0.292 0.292 0.707
! formation energy	0.398	eV/atom
! symmetry	R-3m


3.
! ZnCo3P PBE-GGA optimized geometry; values from VASP
&SYSTEM
  ibrav = 0, nat = 5, ntyp = 3
/
ATOMIC_SPECIES
Co 58.93 Co.upf
Zn 65.41 Zn.upf
P 30.97 P.upf
CELL_PARAMETERS angstrom
4.105 0.000 0.000
0.000 4.105 0.000
0.000 0.000 4.105
ATOMIC_POSITIONS crystal
Co 0.000 0.500 0.000
Zn 0.500 0.500 0.500
P 0.000 0.000 0.000
Co 0.000 0.000 0.500
Co 0.500 0.000 0.000
! formation energy	0.184	eV/atom
! energy relative to the lowest polymorph listed for this composition	0.00	kcal/mol of atoms
! symmetry	Pm-3m


DOS at the Fermi energy per entry: 7.0, 25.9, 4.9 states/eV/cell
Total moment per entry: 1.955, 1.586, 2.307 μB/f.u.